{"formula": "NaAlCuSe3", "functional": "PBE-GGA", "state": "optimized geometry", "dft_energy_ev_per_fu": -23.13, "space_group": "P2_1/m", "cell": [[7.629, 0.000, 0.000], [0.000, 3.668, 0.000], [-3.036, 0.000, 9.115]], "species": ["Na", "Na", "Al", "Al", "Cu", "Cu", "Se", "Se", "Se", "Se", "Se", "Se"], "fractional_positions": [[0.248, 0.250, 0.288], [0.752, 0.750, 0.712], [0.323, 0.750, 0.865], [0.677, 0.250, 0.135], [0.070, 0.250, 0.596], [0.930, 0.750, 0.404], [0.088, 0.250, 0.851], [0.257, 0.750, 0.554], [0.444, 0.750, 0.142], [0.556, 0.250, 0.858], [0.743, 0.250, 0.446], [0.912, 0.750, 0.149]]}